Compound: TbNd3Ag2
Source: the Alexandria database
Functional: PBE
Structure: relaxed

The structure belongs to space group Ibam (No. 72); the cell edges are 7.094, 14.343 and 7.732 Å and the angles 90.00°, 90.00° and 90.00°. The distinct sites, in fractional coordinates, are Tb at (0.000, 0.000, 0.000), Nd at (0.000, 0.224, 0.250), Nd at (0.000, 0.500, 0.250) and Ag at (0.194, 0.359, 0.000).

The formation energy is 64 meV per atom. For the density of states at the Fermi level, the calculation gives 35.53 states/eV/cell. The value obtained for the final energy is -0.14856 Ha/atom. As for the offset from the most stable computed form: 220 meV per atom.